[1]
The following is a DFT calculation (SCAN) of a PBEsol-optimized structure of CrCoOs2.

Summary:
As for the crystal system: orthorhombic. For the distance to the lowest polymorph of the same formula, the calculation gives 207 meV/atom. The calculation puts the formation energy at 0.276 eV/atom. The value obtained for the uncorrected energy is -44.59 eV per atom. The value obtained for the size of the total moment is 2.3 μB/cell.

Cell lengths 5.1767, 5.1767, 5.1767 Å; angles 149.20, 131.61, 58.47 degrees
Closest atoms and distances in Å follow each position.
Atoms (fractional coordinates):
1 Cr 0.0000 0.0000 0.0000  4 Os 2.41, 4 Co 2.53
2 Co 0.5000 0.5000 0.0000  4 Cr 2.53, 2 Co 2.75
3 Os 0.2187 0.7187 0.5000  2 Cr 2.41, 4 Os 2.59
4 Os 0.7813 0.2813 0.5000  2 Cr 2.41, 4 Os 2.59

[2]
The following is a DFT calculation (SCAN) of a PBEsol-optimized structure of Cr2CoOs.

Summary:
As for the crystal system: tetragonal. The calculation puts the formation energy at 0.101 eV/atom. The value obtained for the uncorrected energy is -31.39 eV per atom. The value obtained for the size of the total moment is 0.5 μB/cell.

Cell lengths 4.3941, 4.3941, 4.3941 Å; angles 131.56, 131.56, 70.92 degrees
Closest atoms and distances in Å follow each position.
Atoms (fractional coordinates):
1 Cr 0.2500 0.7500 0.5000  4 Co 2.54, 4 Os 2.54, 4 Cr 2.55
2 Cr 0.7500 0.2500 0.5000  4 Co 2.54, 4 Os 2.54, 4 Cr 2.55
3 Co 0.0000 0.0000 0.0000  8 Cr 2.54, 4 Os 2.55
4 Os 0.5000 0.5000 0.0000  8 Cr 2.54, 4 Co 2.55

[3]
The following is a DFT calculation (SCAN) of a PBEsol-optimized structure of CrCoOs2.

Summary:
As for the crystal system: tetragonal. For the distance to the lowest polymorph of the same formula, the calculation gives 0 meV/atom. The calculation puts the formation energy at 0.069 eV/atom. The value obtained for the uncorrected energy is -44.79 eV per atom. The value obtained for the size of the total moment is 0.0 μB/cell.

Cell lengths 3.7089, 3.7089, 3.5887 Å; angles 90.00, 90.00, 90.00 degrees
Closest atoms and distances in Å follow each position.
Atoms (fractional coordinates):
1 Cr 0.0000 0.0000 0.0000  8 Os 2.58, 4 Co 2.62
2 Co 0.5000 0.5000 0.0000  8 Os 2.58, 4 Cr 2.62
3 Os 0.0000 0.5000 0.5000  4 Cr 2.58, 4 Co 2.58, 4 Os 2.62
4 Os 0.5000 0.0000 0.5000  4 Cr 2.58, 4 Co 2.58, 4 Os 2.62

size of the total moment of number 3 (CrCoOs2)? 0.0 μB/cell

Which of these has the highest formation energy? number 1

Which formula does entry 3 have? CrCoOs2

Look up the formation energy of the first one. 0.276 eV/atom